Density functional theory data (PBE) for a geometry-optimized AcTbPb2 structure.

Cell: 4.192 4.192 7.285 Å, 90.00 90.00 90.00°
Atoms (fractional coordinates):
Pb 0.000 0.000 0.720
Pb 0.000 0.000 0.280
Ac 0.500 0.500 0.000
Tb 0.500 0.500 0.500

formation energy	-453	meV per atom
magnetic moment	0.1	μB/f.u.
space group	P4/mmm (123)

Density functional theory data (PBE) for a geometry-optimized AcTbPb structure.

Cell: 3.604 3.604 9.425 Å, 101.02 101.02 90.00°
Atoms (fractional coordinates):
Tb 0.754 0.754 0.509
Pb 0.140 0.140 0.280
Ac 0.956 0.956 0.911

formation energy	224	meV per atom
magnetic moment	0.4	μB/f.u.
space group	I4mm (107)
relative energy among the computed polymorphs	680	meV/atom

Density functional theory data (PBE) for a geometry-optimized AcTbPb structure.

Cell: 5.465 5.465 5.465 Å, 60.00 60.00 60.00°
Atoms (fractional coordinates):
Ac 0.500 0.500 0.500
Tb 0.000 0.000 0.000
Pb 0.250 0.250 0.250

formation energy	-177	meV per atom
magnetic moment	0.0	μB/f.u.
space group	F-43m (216)
relative energy among the computed polymorphs	280	meV/atom

Density functional theory data (PBE) for a geometry-optimized Ac3TbPb3 structure.

Cell: 8.310 8.310 8.776 Å, 92.41 92.41 112.70°
Atoms (fractional coordinates):
Tb 0.758 0.758 0.904
Tb 0.242 0.242 0.096
Pb 0.864 0.515 0.705
Pb 0.136 0.485 0.295
Pb 0.515 0.864 0.705
Pb 0.068 0.068 0.789
Pb 0.485 0.136 0.295
Pb 0.932 0.932 0.211
Ac 0.765 0.235 0.000
Ac 0.838 0.162 0.500
Ac 0.162 0.838 0.500
Ac 0.393 0.393 0.660
Ac 0.607 0.607 0.340
Ac 0.235 0.765 0.000

formation energy	-334	meV per atom
magnetic moment	0.0	μB/f.u.
space group	C2/m (12)

Density functional theory data (PBE) for a geometry-optimized Ac2TbPb3 structure.

Cell: 6.757 7.844 9.152 Å, 102.36 111.66 90.00°
Atoms (fractional coordinates):
Pb 0.155 0.578 0.313
Pb 0.505 0.250 0.000
Pb 0.845 0.422 0.687
Pb 0.495 0.750 0.000
Pb 0.158 0.078 0.313
Pb 0.842 0.922 0.687
Ac 0.667 0.584 0.338
Ac 0.333 0.416 0.662
Ac 0.329 0.916 0.662
Ac 0.671 0.084 0.338
Tb 0.004 0.250 0.000
Tb 0.996 0.750 0.000

formation energy	-381	meV per atom
magnetic moment	0.0	μB/f.u.
space group	C2/c (15)
relative energy among the computed polymorphs	86	meV/atom

Density functional theory data (PBE) for a geometry-optimized Ac2TbPb structure.

Cell: 5.170 5.236 5.236 Å, 90.00 90.00 90.00°
Atoms (fractional coordinates):
Ac 0.000 0.000 0.500
Ac 0.000 0.500 0.000
Tb 0.500 0.000 0.000
Pb 0.500 0.500 0.500

formation energy	-229	meV per atom
magnetic moment	0.0	μB/f.u.
space group	P4/mmm (123)
relative energy among the computed polymorphs	0	meV/atom

Density functional theory data (PBE) for a geometry-optimized AcTbPb2 structure.

Cell: 4.920 4.920 7.716 Å, 71.41 71.41 60.00°
Atoms (fractional coordinates):
Pb 0.093 0.093 0.720
Pb 0.241 0.241 0.278
Tb 0.495 0.495 0.514
Ac 0.670 0.670 0.989

formation energy	-347	meV per atom
magnetic moment	0.0	μB/f.u.
space group	R3m (160)

Density functional theory data (PBE) for a geometry-optimized AcTb2Pb structure.

Cell: 3.936 3.936 8.555 Å, 90.00 90.00 90.00°
Atoms (fractional coordinates):
Pb 0.500 0.500 0.000
Tb 0.000 0.000 0.790
Tb 0.000 0.000 0.210
Ac 0.500 0.500 0.500

formation energy	-188	meV per atom
magnetic moment	0.0	μB/f.u.
space group	P4/mmm (123)
relative energy among the computed polymorphs	44	meV/atom